Entry one
# NiHSCl2 | Alexandria | PBE | relaxed
# Mass density, g/cm³: 3.4
data_NiHSCl2
_chemical_formula_sum 'Ni1 H1 S1 Cl2'
_cell_length_a 4.958
_cell_length_b 4.958
_cell_length_c 3.190
_cell_angle_alpha 90.00
_cell_angle_beta 90.00
_cell_angle_gamma 90.00
_symmetry_space_group_name_H-M 'P 4/m m m'
_symmetry_Int_Tables_number 123
_symmetry_space_group_name_Hall '-P 4 2'
loop_
_atom_site_label
_atom_site_type_symbol
_atom_site_fract_x
_atom_site_fract_y
_atom_site_fract_z
_atom_site_occupancy
Ni1 Ni 0.000 0.000 0.000 1
H1 H 0.500 0.500 0.500 1
S1 S 0.500 0.500 0.000 1
Cl1 Cl 0.000 0.500 0.500 1

***

Entry two
# NiHSCl2 | Alexandria | PBE | relaxed
# Mass density, g/cm³: 2.8
data_NiHSCl2
_chemical_formula_sum 'Ni1 H1 S1 Cl2'
_cell_length_a 4.790
_cell_length_b 4.790
_cell_length_c 4.259
_cell_angle_alpha 90.00
_cell_angle_beta 90.00
_cell_angle_gamma 90.00
_symmetry_space_group_name_H-M 'P 4/m m m'
_symmetry_Int_Tables_number 123
_symmetry_space_group_name_Hall '-P 4 2'
loop_
_atom_site_label
_atom_site_type_symbol
_atom_site_fract_x
_atom_site_fract_y
_atom_site_fract_z
_atom_site_occupancy
Ni1 Ni 0.000 0.000 0.000 1
H1 H 0.500 0.500 0.500 1
S1 S 0.000 0.000 0.500 1
Cl1 Cl 0.000 0.500 0.000 1

***

Ranked by calculated energy, most stable first: entry two, entry one.

***

Entry one
# NiHS2Cl | Alexandria | PBE | relaxed
# Mass density, g/cm³: 2.8
data_NiHS2Cl
_chemical_formula_sum 'Ni1 H1 S2 Cl1'
_cell_length_a 4.404
_cell_length_b 4.404
_cell_length_c 4.943
_cell_angle_alpha 90.00
_cell_angle_beta 90.00
_cell_angle_gamma 90.00
_symmetry_space_group_name_H-M 'P 4/m m m'
_symmetry_Int_Tables_number 123
_symmetry_space_group_name_Hall '-P 4 2'
loop_
_atom_site_label
_atom_site_type_symbol
_atom_site_fract_x
_atom_site_fract_y
_atom_site_fract_z
_atom_site_occupancy
Ni1 Ni 0.000 0.000 0.000 1
H1 H 0.500 0.500 0.500 1
S1 S 0.000 0.500 0.000 1
Cl1 Cl 0.000 0.000 0.500 1

***

Entry two
# NiHS2Cl | Alexandria | PBE | relaxed
# Mass density, g/cm³: 3.0
data_NiHS2Cl
_chemical_formula_sum 'Ni1 H1 S2 Cl1'
_cell_length_a 3.526
_cell_length_b 3.526
_cell_length_c 7.046
_cell_angle_alpha 90.00
_cell_angle_beta 90.00
_cell_angle_gamma 90.00
_symmetry_space_group_name_H-M 'P 4/m m m'
_symmetry_Int_Tables_number 123
_symmetry_space_group_name_Hall '-P 4 2'
loop_
_atom_site_label
_atom_site_type_symbol
_atom_site_fract_x
_atom_site_fract_y
_atom_site_fract_z
_atom_site_occupancy
Ni1 Ni 0.000 0.000 0.000 1
H1 H 0.500 0.500 0.500 1
S1 S 0.000 0.500 0.500 1
Cl1 Cl 0.500 0.500 0.000 1

***

Ranked by calculated energy, most stable first: entry two, entry one.

***

Entry one
# TaNi2HCl | Alexandria | PBE | relaxed
# Mass density, g/cm³: 6.9
data_TaNi2HCl
_chemical_formula_sum 'Ta1 Ni2 H1 Cl1'
_cell_length_a 4.771
_cell_length_b 4.771
_cell_length_c 3.524
_cell_angle_alpha 90.00
_cell_angle_beta 90.00
_cell_angle_gamma 90.00
_symmetry_space_group_name_H-M 'P 4/m m m'
_symmetry_Int_Tables_number 123
_symmetry_space_group_name_Hall '-P 4 2'
loop_
_atom_site_label
_atom_site_type_symbol
_atom_site_fract_x
_atom_site_fract_y
_atom_site_fract_z
_atom_site_occupancy
Ta1 Ta 0.000 0.000 0.000 1
Ni1 Ni 0.000 0.500 0.000 1
H1 H 0.000 0.000 0.500 1
Cl1 Cl 0.500 0.500 0.500 1

***

Entry two
# TaNi2HCl | Alexandria | PBE | relaxed
# Mass density, g/cm³: 9.5
data_TaNi2HCl
_chemical_formula_sum 'Ta1 Ni2 H1 Cl1'
_cell_length_a 3.602
_cell_length_b 3.602
_cell_length_c 4.507
_cell_angle_alpha 90.00
_cell_angle_beta 90.00
_cell_angle_gamma 90.00
_symmetry_space_group_name_H-M 'P 4/m m m'
_symmetry_Int_Tables_number 123
_symmetry_space_group_name_Hall '-P 4 2'
loop_
_atom_site_label
_atom_site_type_symbol
_atom_site_fract_x
_atom_site_fract_y
_atom_site_fract_z
_atom_site_occupancy
Ta1 Ta 0.000 0.000 0.000 1
Ni1 Ni 0.000 0.500 0.500 1
H1 H 0.000 0.000 0.500 1
Cl1 Cl 0.500 0.500 0.000 1

***

Ranked by calculated energy, most stable first: entry two, entry one.

***

Entry one
# SrH2Cl2O | Alexandria | PBE | relaxed
# Mass density, g/cm³: 2.8
data_SrH2Cl2O
_chemical_formula_sum 'Sr4 H8 Cl8 O4'
_cell_length_a 10.810
_cell_length_b 4.191
_cell_length_c 9.144
_cell_angle_alpha 90.00
_cell_angle_beta 90.00
_cell_angle_gamma 90.00
_symmetry_space_group_name_H-M 'P n m a'
_symmetry_Int_Tables_number 62
_symmetry_space_group_name_Hall '-P 2ac 2n'
loop_
_atom_site_label
_atom_site_type_symbol
_atom_site_fract_x
_atom_site_fract_y
_atom_site_fract_z
_atom_site_occupancy
Sr1 Sr 0.187 0.250 0.096 1
H1 H 0.081 0.250 0.649 1
H2 H 0.125 0.250 0.487 1
Cl1 Cl 0.102 0.750 0.885 1
Cl2 Cl 0.121 0.750 0.321 1
O1 O 0.157 0.250 0.587 1

***

Entry two
# SrH2Cl2O | Alexandria | PBE | relaxed
# Mass density, g/cm³: 2.4
data_SrH2Cl2O
_chemical_formula_sum 'Sr4 H8 Cl8 O4'
_cell_length_a 10.712
_cell_length_b 4.247
_cell_length_c 10.645
_cell_angle_alpha 90.00
_cell_angle_beta 90.00
_cell_angle_gamma 90.00
_symmetry_space_group_name_H-M 'P n m a'
_symmetry_Int_Tables_number 62
_symmetry_space_group_name_Hall '-P 2ac 2n'
loop_
_atom_site_label
_atom_site_type_symbol
_atom_site_fract_x
_atom_site_fract_y
_atom_site_fract_z
_atom_site_occupancy
Sr1 Sr 0.146 0.250 0.035 1
H1 H 0.033 0.750 0.333 1
H2 H 0.107 0.750 0.844 1
Cl1 Cl 0.112 0.750 0.640 1
Cl2 Cl 0.144 0.750 0.280 1
O1 O 0.087 0.750 0.935 1

***

Ranked by calculated energy, most stable first: entry one, entry two.

***

Entry one
# HOsCl3 | Alexandria | PBE | relaxed
# Mass density, g/cm³: 4.5
data_HOsCl3
_chemical_formula_sum 'H1 Os1 Cl3'
_cell_length_a 4.801
_cell_length_b 4.801
_cell_length_c 4.801
_cell_angle_alpha 90.00
_cell_angle_beta 90.00
_cell_angle_gamma 90.00
_symmetry_space_group_name_H-M 'P m -3 m'
_symmetry_Int_Tables_number 221
_symmetry_space_group_name_Hall '-P 4 2 3'
loop_
_atom_site_label
_atom_site_type_symbol
_atom_site_fract_x
_atom_site_fract_y
_atom_site_fract_z
_atom_site_occupancy
H1 H 0.000 0.000 0.000 1
Os1 Os 0.500 0.500 0.500 1
Cl1 Cl 0.000 0.500 0.500 1

***

Entry two
# HOsCl3 | Alexandria | PBE | relaxed
# Mass density, g/cm³: 6.8
data_HOsCl3
_chemical_formula_sum 'H1 Os1 Cl3'
_cell_length_a 4.168
_cell_length_b 4.168
_cell_length_c 4.168
_cell_angle_alpha 90.00
_cell_angle_beta 90.00
_cell_angle_gamma 90.00
_symmetry_space_group_name_H-M 'P m -3 m'
_symmetry_Int_Tables_number 221
_symmetry_space_group_name_Hall '-P 4 2 3'
loop_
_atom_site_label
_atom_site_type_symbol
_atom_site_fract_x
_atom_site_fract_y
_atom_site_fract_z
_atom_site_occupancy
H1 H 0.000 0.000 0.000 1
Os1 Os 0.500 0.500 0.500 1
Cl1 Cl 0.000 0.000 0.500 1

***

Ranked by calculated energy, most stable first: entry one, entry two.

***

Entry one
# P2HOsCl | Alexandria | PBE | relaxed
# Mass density, g/cm³: 4.5
data_P2HOsCl
_chemical_formula_sum 'P2 H1 Os1 Cl1'
_cell_length_a 4.488
_cell_length_b 4.488
_cell_length_c 5.285
_cell_angle_alpha 90.00
_cell_angle_beta 90.00
_cell_angle_gamma 90.00
_symmetry_space_group_name_H-M 'P 4/m m m'
_symmetry_Int_Tables_number 123
_symmetry_space_group_name_Hall '-P 4 2'
loop_
_atom_site_label
_atom_site_type_symbol
_atom_site_fract_x
_atom_site_fract_y
_atom_site_fract_z
_atom_site_occupancy
P1 P 0.000 0.500 0.000 1
H1 H 0.000 0.000 0.500 1
Os1 Os 0.500 0.500 0.000 1
Cl1 Cl 0.500 0.500 0.500 1

***

Entry two
# P2HOsCl | Alexandria | PBE | relaxed
# Mass density, g/cm³: 7.7
data_P2HOsCl
_chemical_formula_sum 'P2 H1 Os1 Cl1'
_cell_length_a 3.721
_cell_length_b 3.721
_cell_length_c 4.523
_cell_angle_alpha 90.00
_cell_angle_beta 90.00
_cell_angle_gamma 90.00
_symmetry_space_group_name_H-M 'P 4/m m m'
_symmetry_Int_Tables_number 123
_symmetry_space_group_name_Hall '-P 4 2'
loop_
_atom_site_label
_atom_site_type_symbol
_atom_site_fract_x
_atom_site_fract_y
_atom_site_fract_z
_atom_site_occupancy
P1 P 0.000 0.500 0.000 1
H1 H 0.000 0.000 0.000 1
Os1 Os 0.500 0.500 0.500 1
Cl1 Cl 0.000 0.000 0.500 1

***

Ranked by calculated energy, most stable first: entry one, entry two.